Entry 1:
# InCuHg2Se4

A geometry-optimized InCuHg2Se4 structure (GGA-PBE, Alexandria via LeMat-Bulk).

For the final energy, the calculation gives -45.505 eV for the cell shown. The crystal system is tetragonal.

It has space group I-42m (No. 121), with a = 7.666 Å, b = 7.666 Å, c = 6.975 Å, α = 90.00°, β = 90.00° and γ = 90.00°. The asymmetric unit holds In at (0.000, 0.000, 0.000), Cu at (0.000, 0.000, 0.500), Hg at (0.000, 0.500, 0.250) and Se at (0.172, 0.172, 0.273).

---

Entry 2:
# ScSb3Cl

A geometry-optimized ScSb3Cl structure (GGA-PBE, Alexandria via LeMat-Bulk).

For the final energy, the calculation gives -18.385 eV for the cell shown. The crystal system is cubic.

It has space group Pm-3m (No. 221), with a = 5.242 Å, b = 5.242 Å, c = 5.242 Å, α = 90.00°, β = 90.00° and γ = 90.00°. The asymmetric unit holds Sc at (0.000, 0.000, 0.000), Sb at (0.000, 0.500, 0.500) and Cl at (0.500, 0.500, 0.500).